Entry 1:
# Cs2TlAuI6

Crystalline Cs2TlAuI6 at its relaxed geometry (GGA-PBE, Alexandria).

Unit cell a=8.573 b=8.573 c=8.573 alpha=60.00 beta=60.00 gamma=60.00
Atoms (fractional coordinates):
1 Cs 0.250 0.250 0.250
2 Cs 0.750 0.750 0.750
3 Tl 0.000 0.000 0.000
4 Au 0.500 0.500 0.500
5 I 0.261 0.261 0.739
6 I 0.261 0.739 0.261
7 I 0.261 0.739 0.739
8 I 0.739 0.261 0.261
9 I 0.739 0.261 0.739
10 I 0.739 0.739 0.261

Calculated values
- total energy (hartree per atom) = -0.089
- theoretical density (g/cm³) = 5.3
- volume (Å³ per cell) = 446
- space group = Fm-3m, No. 225
- E_form (uncorrected) (meV/atom) = -749

Entry 2:
# BaCoRu2

Crystalline BaCoRu2 at its relaxed geometry (GGA-PBE, Alexandria).

Unit cell a=5.731 b=5.731 c=5.731 alpha=150.07 beta=128.32 gamma=60.87
Atoms (fractional coordinates):
1 Ba 0.000 0.000 0.000
2 Co 0.500 0.500 0.000
3 Ru 0.289 0.789 0.500
4 Ru 0.711 0.211 0.500

Calculated values
- total energy (hartree per atom) = -0.220
- theoretical density (g/cm³) = 9.1
- volume (Å³ per cell) = 73
- space group = Immm, No. 71
- polymorph energy (0 for the lowest one) (meV/atom) = 576

- Number 1 is which compound?
  Cs2TlAuI6

- Which formula does entry 1 have?
  Cs2TlAuI6

- Which formula does entry 1 have?
  Cs2TlAuI6

- Which of these has the highest volume?
  Cs2TlAuI6